# 1
GGA+U BaNpCrO6, optimized geometry; mass density = 5.9 Mg/m³; E_tot = -75.0 eV/f.u.
1.0
5.423 0.000 0.000
-2.711 4.696 0.000
0.000 0.000 5.810
Ba Np Cr O
1 1 1 6
Direct
0.000 0.000 0.000
0.333 0.667 0.500
0.667 0.333 0.500
0.000 0.378 0.309
0.000 0.622 0.691
0.378 0.000 0.309
0.378 0.378 0.691
0.622 0.000 0.691
0.622 0.622 0.309

=====

# 2
GGA+U BaNpCr2O8, optimized geometry; mass density = 4.7 Mg/m³; E_tot = -95.3 eV/f.u.
1.0
5.763 0.000 0.000
-2.881 4.991 0.000
0.000 0.000 7.456
Ba Np Cr O
1 1 2 8
Direct
0.000 0.000 0.000
0.000 0.000 0.500
0.333 0.667 0.240
0.667 0.333 0.760
0.161 0.322 0.324
0.161 0.839 0.324
0.322 0.161 0.676
0.333 0.667 0.016
0.667 0.333 0.984
0.678 0.839 0.324
0.839 0.161 0.676
0.839 0.678 0.676

=====

# 3
GGA+U Ba5CrO6, optimized geometry; mass density = 5.7 Mg/m³; E_tot = -73.2 eV/f.u.
1.0
3.325 -5.847 0.000
3.325 5.847 0.000
-2.107 0.000 6.292
Ba Cr O
5 1 6
Direct
0.000 0.000 0.000
0.170 0.830 0.500
0.339 0.661 0.000
0.661 0.339 0.000
0.830 0.170 0.500
0.500 0.500 0.500
0.077 0.407 0.239
0.298 0.298 0.694
0.407 0.077 0.239
0.593 0.923 0.761
0.702 0.702 0.306
0.923 0.593 0.761

=====

# 4
GGA+U BaCr2O4, optimized geometry; mass density = 5.2 Mg/m³; E_tot = -51.1 eV/f.u.; relative energy among the computed polymorphs = 176 meV per atom
1.0
-3.264 3.264 4.611
3.264 -3.264 4.611
3.264 3.264 -4.611
Ba Cr O
2 4 8
Direct
0.375 0.625 0.750
0.625 0.375 0.250
0.000 0.000 0.000
0.000 0.000 0.500
0.000 0.500 0.000
0.500 0.000 0.500
0.171 0.224 0.947
0.223 0.776 0.447
0.224 0.171 0.447
0.224 0.777 0.053
0.776 0.223 0.947
0.776 0.829 0.553
0.777 0.224 0.553
0.829 0.776 0.053

=====

# 5
GGA+U Ba2CrO4, optimized geometry; mass density = 5.1 Mg/m³; E_tot = -47.1 eV/f.u.
1.0
5.669 0.000 0.000
0.000 6.197 0.000
-2.117 0.000 7.289
Ba Cr O
4 2 8
Direct
0.111 0.250 0.114
0.208 0.750 0.496
0.792 0.250 0.504
0.889 0.750 0.886
0.368 0.250 0.740
0.632 0.750 0.260
0.193 0.023 0.782
0.193 0.477 0.782
0.303 0.250 0.486
0.306 0.750 0.170
0.694 0.250 0.830
0.697 0.750 0.514
0.807 0.523 0.218
0.807 0.977 0.218

=====

# 6
GGA+U Ba2CrO5, optimized geometry; mass density = 4.8 Mg/m³; E_tot = -52.5 eV/f.u.
1.0
-3.027 3.027 3.803
3.027 -3.027 3.803
3.027 3.027 -3.803
Ba Cr O
2 1 5
Direct
0.000 0.500 0.500
0.500 0.000 0.500
0.227 0.227 0.000
0.009 0.009 0.000
0.080 0.080 0.591
0.080 0.489 0.000
0.489 0.080 0.000
0.489 0.489 0.409

=====

# 7
GGA+U BaCrO4, optimized geometry; mass density = 4.3 Mg/m³; E_tot = -41.4 eV/f.u.
1.0
9.216 0.000 0.000
0.000 5.675 0.000
0.000 0.000 7.451
Ba Cr O
4 4 16
Direct
0.183 0.250 0.155
0.317 0.750 0.655
0.683 0.250 0.345
0.817 0.750 0.845
0.056 0.250 0.692
0.444 0.750 0.192
0.556 0.250 0.808
0.944 0.750 0.308
0.080 0.011 0.820
0.080 0.489 0.820
0.111 0.750 0.387
0.180 0.250 0.530
0.320 0.750 0.030
0.389 0.250 0.887
0.420 0.511 0.320
0.420 0.989 0.320
0.580 0.011 0.680
0.580 0.489 0.680
0.611 0.750 0.113
0.680 0.250 0.970
0.820 0.750 0.470
0.889 0.250 0.613
0.920 0.511 0.180
0.920 0.989 0.180

=====

# 8
GGA+U Ba2CrO4, optimized geometry; mass density = 5.2 Mg/m³; E_tot = -47.6 eV/f.u.
1.0
7.732 0.000 0.000
0.000 10.726 0.000
0.000 0.000 6.009
Ba Cr O
8 4 16
Direct
0.004 0.197 0.000
0.151 0.431 0.499
0.349 0.931 0.999
0.496 0.697 0.500
0.504 0.303 0.000
0.651 0.069 0.499
0.849 0.569 0.999
0.996 0.803 0.500
0.218 0.078 0.499
0.282 0.578 0.999
0.718 0.422 0.499
0.782 0.922 0.999
0.012 0.923 0.997
0.188 0.422 0.000
0.191 0.647 0.753
0.193 0.648 0.246
0.307 0.148 0.746
0.309 0.147 0.253
0.312 0.922 0.500
0.488 0.423 0.497
0.512 0.577 0.997
0.688 0.078 0.000
0.691 0.853 0.753
0.693 0.852 0.246
0.807 0.352 0.746
0.809 0.353 0.253
0.812 0.578 0.500
0.988 0.077 0.497

=====

# 9
GGA+U BaCrO4, optimized geometry; mass density = 3.7 Mg/m³; E_tot = -41.3 eV/f.u.
1.0
5.288 0.000 0.000
0.000 8.105 0.000
-0.642 0.000 5.253
Ba Cr O
2 2 8
Direct
0.152 0.250 0.154
0.848 0.750 0.846
0.345 0.750 0.343
0.655 0.250 0.657
0.202 0.585 0.201
0.202 0.915 0.201
0.318 0.750 0.654
0.345 0.250 0.684
0.655 0.750 0.316
0.682 0.250 0.346
0.798 0.085 0.799
0.798 0.415 0.799

=====

# 10
GGA+U Ba2Cr2O, optimized geometry; mass density = 4.9 Mg/m³; E_tot = -22.7 eV/f.u.; relative energy among the computed polymorphs = 171 meV per atom
1.0
6.346 0.000 0.000
0.000 6.346 0.000
0.000 0.000 6.579
Ba Cr O
4 4 2
Direct
0.178 0.322 0.000
0.322 0.822 0.000
0.678 0.178 0.000
0.822 0.678 0.000
0.225 0.725 0.500
0.275 0.225 0.500
0.725 0.775 0.500
0.775 0.275 0.500
0.000 0.000 0.500
0.500 0.500 0.500

=====

# 11
GGA+U Ba2CrO3, optimized geometry; mass density = 5.6 Mg/m³; E_tot = -39.1 eV/f.u.
1.0
2.858 -5.908 0.000
2.858 5.908 0.000
-1.455 0.000 13.126
Ba Cr O
8 4 12
Direct
0.023 0.426 0.354
0.137 0.351 0.926
0.351 0.137 0.426
0.426 0.023 0.854
0.574 0.977 0.146
0.649 0.863 0.574
0.863 0.649 0.074
0.977 0.574 0.646
0.280 0.283 0.165
0.283 0.280 0.665
0.717 0.720 0.335
0.720 0.717 0.835
0.017 0.983 0.750
0.111 0.449 0.124
0.182 0.370 0.535
0.370 0.182 0.035
0.385 0.615 0.750
0.449 0.111 0.624
0.551 0.889 0.376
0.615 0.385 0.250
0.630 0.818 0.965
0.818 0.630 0.465
0.889 0.551 0.876
0.983 0.017 0.250

=====

# 12
GGA+U BaCr4O8, optimized geometry; mass density = 3.5 Mg/m³; E_tot = -92.6 eV/f.u.
1.0
5.574 0.000 0.000
-2.787 4.827 0.000
0.000 0.000 8.245
Ba Cr O
1 4 8
Direct
0.000 0.000 0.000
0.333 0.667 0.225
0.333 0.667 0.775
0.667 0.333 0.225
0.667 0.333 0.775
0.000 0.357 0.273
0.000 0.643 0.727
0.333 0.667 0.000
0.357 0.000 0.273
0.357 0.357 0.727
0.643 0.000 0.727
0.643 0.643 0.273
0.667 0.333 0.000

=====

# 13
GGA+U BaCrO2, optimized geometry; mass density = 4.1 Mg/m³; E_tot = -26.1 eV/f.u.
1.0
2.031 1.172 6.261
-2.031 1.172 6.261
0.000 -2.345 6.261
Ba Cr O
1 1 2
Direct
0.000 0.000 0.000
0.500 0.500 0.500
0.403 0.403 0.403
0.597 0.597 0.597

=====

# 14
GGA+U BaCrO3, optimized geometry; mass density = 6.0 Mg/m³; E_tot = -35.0 eV/f.u.
1.0
5.727 0.000 0.000
-2.864 4.960 0.000
0.000 0.000 13.960
Ba Cr O
6 6 18
Direct
0.000 0.000 0.250
0.000 0.000 0.750
0.333 0.667 0.091
0.333 0.667 0.409
0.667 0.333 0.591
0.667 0.333 0.909
0.000 0.000 0.000
0.000 0.000 0.500
0.333 0.667 0.655
0.333 0.667 0.845
0.667 0.333 0.155
0.667 0.333 0.345
0.041 0.521 0.750
0.170 0.339 0.582
0.170 0.339 0.918
0.170 0.830 0.582
0.170 0.830 0.918
0.339 0.170 0.082
0.339 0.170 0.418
0.479 0.521 0.750
0.479 0.959 0.750
0.521 0.041 0.250
0.521 0.479 0.250
0.661 0.830 0.582
0.661 0.830 0.918
0.830 0.170 0.082
0.830 0.170 0.418
0.830 0.661 0.082
0.830 0.661 0.418
0.959 0.479 0.250

=====

# 15
GGA+U BaCrO2, optimized geometry; mass density = 5.9 Mg/m³; E_tot = -24.0 eV/f.u.
1.0
0.000 3.140 3.140
3.140 0.000 3.140
3.140 3.140 0.000
Ba Cr O
1 1 2
Direct
0.000 0.000 0.000
0.500 0.500 0.500
0.250 0.250 0.250
0.750 0.750 0.750

=====

# 16
GGA+U BaCr4O7, optimized geometry; mass density = 3.8 Mg/m³; E_tot = -86.1 eV/f.u.
1.0
6.582 0.000 0.000
-3.291 5.700 0.000
0.000 0.000 10.652
Ba Cr O
2 8 14
Direct
0.333 0.667 0.000
0.667 0.333 0.500
0.000 0.000 0.467
0.000 0.000 0.967
0.174 0.348 0.716
0.174 0.826 0.716
0.348 0.174 0.216
0.652 0.826 0.716
0.826 0.174 0.216
0.826 0.652 0.216
0.000 0.000 0.271
0.000 0.000 0.771
0.051 0.525 0.788
0.146 0.291 0.545
0.146 0.854 0.545
0.291 0.146 0.045
0.475 0.525 0.788
0.475 0.949 0.788
0.525 0.051 0.288
0.525 0.475 0.288
0.709 0.854 0.545
0.854 0.146 0.045
0.854 0.709 0.045
0.949 0.475 0.288

=====

# 17
GGA+U BaCrO2, optimized geometry; mass density = 5.8 Mg/m³; E_tot = -24.9 eV/f.u.
1.0
1.627 0.939 6.943
-1.627 0.939 6.943
0.000 -1.879 6.943
Ba Cr O
1 1 2
Direct
0.000 0.000 0.000
0.500 0.500 0.500
0.121 0.121 0.121
0.879 0.879 0.879